No. 1
# La2TcCl

A PBEsol-optimized structure of La2TcCl (meta-GGA SCAN, Alexandria via LeMat-Bulk).

Lattice parameters (Å, degrees): 3.5241 3.5241 8.2643 82.61 82.61 75.06
Fractional coordinates of all 4 atoms:
La 0.9354 0.9354 0.2171
La 0.0646 0.0646 0.7829
Tc 0.5000 0.5000 0.0000
Cl 0.5000 0.5000 0.5000

## Properties
formation energy (no corrections)	-906	meV/atom
final energy	-33.22	eV/atom
density of states at the Fermi level	0.360	states/eV/atom
total moment	0.00	μB per formula unit
crystal system	monoclinic



No. 2
# RbCuS3

A PBEsol-optimized structure of RbCuS3 (meta-GGA SCAN, Alexandria via LeMat-Bulk).

Lattice parameters (Å, degrees): 4.6571 4.6571 4.6571 90.00 90.00 90.00
Fractional coordinates of all 5 atoms:
S 0.0000 0.0000 0.5000
S 0.0000 0.5000 0.0000
S 0.5000 0.0000 0.0000
Rb 0.5000 0.5000 0.5000
Cu 0.0000 0.0000 0.0000

## Properties
formation energy (no corrections)	-72	meV/atom
final energy	-13.04	eV/atom
density of states at the Fermi level	0.859	states/eV/atom
total moment	0.00	μB per formula unit
crystal system	cubic



No. 3
# SrCoHg3

A PBEsol-optimized structure of SrCoHg3 (meta-GGA SCAN, Alexandria via LeMat-Bulk).

Lattice parameters (Å, degrees): 4.9562 4.9562 4.9562 90.00 90.00 90.00
Last column: magnetic moment on the atom in μB.
Fractional coordinates of all 5 atoms:
Hg 0.0000 0.0000 0.5000  -0.05
Hg 0.5000 0.0000 0.0000  -0.05
Hg 0.0000 0.5000 0.0000  -0.05
Co 0.0000 0.0000 0.0000  1.53
Sr 0.5000 0.5000 0.5000  -0.02

## Properties
final energy	-48.97	eV/atom
density of states at the Fermi level	0.579	states/eV/atom
total moment	1.12	μB per formula unit
crystal system	cubic
energy relative to the elements	-0.76	eV/f.u.



No. 4
# ZrTe

A PBEsol-optimized structure of ZrTe (meta-GGA SCAN, Alexandria via LeMat-Bulk).

Lattice parameters (Å, degrees): 5.0441 5.0441 5.0441 60.00 60.00 60.00
Fractional coordinates of all 4 atoms:
Zr 0.2500 0.2500 0.2500
Zr 0.0000 0.0000 0.0000
Te 0.5000 0.5000 0.5000
Te 0.7500 0.7500 0.7500

## Properties
formation energy (no corrections)	-52	meV/atom
final energy	-34.03	eV/atom
density of states at the Fermi level	1.009	states/eV/atom
total moment	0.00	μB per formula unit
crystal system	cubic



No. 5
# CrAg2Ru

A PBEsol-optimized structure of CrAg2Ru (meta-GGA SCAN, Alexandria via LeMat-Bulk).

Lattice parameters (Å, degrees): 3.7102 3.7102 4.2823 90.00 90.00 90.00
Last column: magnetic moment on the atom in μB.
Fractional coordinates of all 4 atoms:
Ru 0.0000 0.0000 0.5000  -1.18
Ag 0.5000 0.0000 0.0000  0.01
Ag 0.0000 0.5000 0.0000  0.01
Cr 0.5000 0.5000 0.5000  3.23

## Properties
final energy	-28.57	eV/atom
density of states at the Fermi level	0.789	states/eV/atom
total moment	2.24	μB per formula unit
crystal system	tetragonal
energy relative to the elements	1.67	eV/f.u.



No. 6
# ScH2W

A PBEsol-optimized structure of ScH2W (meta-GGA SCAN, Alexandria via LeMat-Bulk).

Lattice parameters (Å, degrees): 3.8543 3.8543 3.8543 60.00 60.00 60.00
Fractional coordinates of all 4 atoms:
Sc 0.0000 0.0000 0.0000
H 0.2500 0.2500 0.2500
H 0.7500 0.7500 0.7500
W 0.5000 0.5000 0.5000

## Properties
final energy	-22.04	eV/atom
density of states at the Fermi level	0.252	states/eV/atom
total moment	0.00	μB per formula unit
crystal system	cubic